[1]
First-principles (PBE-GGA) data for CeAlIr2 after structural relaxation, as listed in Alexandria.

The space-group type is P4/mmm, No. 123. The volume comes out at 16.9 Å³ per atom. For the energy of formation from the pure elements, the calculation gives -746 meV/atom.

The structure in POSCAR format:
```
CeAlIr2
1.0
3.051 0.000 0.000
0.000 3.051 0.000
0.000 0.000 7.266
Ir Al Ce
2 1 1
Direct
0.000 0.000 0.205
0.000 0.000 0.795
0.500 0.500 0.000
0.500 0.500 0.500
```

[2]
First-principles (PBE-GGA) data for Ce2Al3Ir after structural relaxation, as listed in Alexandria.

The space-group type is R-3m, No. 166. The volume comes out at 19.5 Å³ per atom. For the energy of formation from the pure elements, the calculation gives -635 meV/atom.

The structure in POSCAR format:
```
Ce2Al3Ir
1.0
-0.990 1.070 -5.402
-4.225 -1.390 3.394
1.451 3.913 3.410
Ir Ce Al
1 2 3
Direct
0.000 0.000 0.000
0.232 0.616 0.848
0.768 0.384 0.152
0.500 0.000 0.500
0.500 0.500 0.500
0.000 0.000 0.500
```

[3]
First-principles (PBE-GGA) data for CeAl4Ir2 after structural relaxation, as listed in Alexandria.

The space-group type is P4_2/mnm, No. 136. The energy above the most stable polymorph in this dataset is 0 meV/atom. The volume comes out at 17.4 Å³ per atom. For the energy of formation from the pure elements, the calculation gives -793 meV/atom.

The structure in POSCAR format:
```
CeAl4Ir2
1.0
-3.193 0.716 2.916
-4.980 -2.907 -4.740
1.160 -6.766 2.931
Ce Al Ir
2 8 4
Direct
0.000 0.500 0.500
0.500 0.000 0.000
0.500 0.162 0.588
0.500 0.588 0.162
0.000 0.912 0.662
0.000 0.338 0.088
0.500 0.412 0.838
0.000 0.662 0.912
0.500 0.838 0.412
0.000 0.088 0.338
0.000 0.765 0.235
0.500 0.265 0.265
0.500 0.735 0.735
0.000 0.235 0.765
```

[4]
First-principles (PBE-GGA) data for Ce3AlIr after structural relaxation, as listed in Alexandria.

The space-group type is P2_1/m, No. 11. The volume comes out at 24.8 Å³ per atom. For the energy of formation from the pure elements, the calculation gives -390 meV/atom.

The structure in POSCAR format:
```
Ce3AlIr
1.0
3.656 0.000 0.000
0.000 9.419 0.410
0.000 -1.487 7.147
Ce Al Ir
6 2 2
Direct
0.750 0.938 0.356
0.250 0.173 0.129
0.750 0.519 0.225
0.250 0.062 0.644
0.750 0.827 0.871
0.250 0.481 0.775
0.250 0.723 0.512
0.750 0.277 0.488
0.250 0.724 0.124
0.750 0.276 0.876
```

Copy entry 1 word for word.
First-principles (PBE-GGA) data for CeAlIr2 after structural relaxation, as listed in Alexandria.

The space-group type is P4/mmm, No. 123. The volume comes out at 16.9 Å³ per atom. For the energy of formation from the pure elements, the calculation gives -746 meV/atom.

The structure in POSCAR format:
```
CeAlIr2
1.0
3.051 0.000 0.000
0.000 3.051 0.000
0.000 0.000 7.266
Ir Al Ce
2 1 1
Direct
0.000 0.000 0.205
0.000 0.000 0.795
0.500 0.500 0.000
0.500 0.500 0.500
```